1.
Density functional theory data (PBE) for a geometry-optimized Nd4ThGe4 structure.

Space-group type: No. 87
ΔE_f (meV/atom): -596

a b c (Å): 7.3739 7.3739 7.3739
angles (deg): 99.65 99.65 131.66
Fractional positions:
Nd 0.0994 0.3016 0.4010
Nd 0.3016 0.9006 0.2023
Nd 0.6984 0.0994 0.7977
Nd 0.9006 0.6984 0.5990
Th 0.5000 0.5000 0.0000
Ge 0.2055 0.5998 0.8053
Ge 0.4002 0.2055 0.6057
Ge 0.5998 0.7945 0.3943
Ge 0.7945 0.4002 0.1947


2.
Density functional theory data (PBE) for a geometry-optimized Pm5SmPb5 structure.

Space-group type: No. 12
ΔE_f (meV/atom): -325

a b c (Å): 7.9528 7.9528 8.7649
angles (deg): 105.99 105.99 47.33
Fractional positions:
Pm 0.0000 0.0000 0.0000
Pm 0.3331 0.3331 0.6682
Pm 0.3336 0.3336 0.1651
Pm 0.6664 0.6664 0.8349
Pm 0.6669 0.6669 0.3318
Sm 0.0000 0.0000 0.5000
Pb 0.1651 0.1651 0.3303
Pb 0.1648 0.1648 0.8343
Pb 0.5000 0.5000 0.5000
Pb 0.8352 0.8352 0.1657
Pb 0.8349 0.8349 0.6697


3.
Density functional theory data (PBE) for a geometry-optimized Nd2Ho2S3 structure.

Raw formation energy (eV/atom): -1.7106
Space-group type: No. 2

a b c (Å): 3.8884 6.7796 6.9043
angles (deg): 98.80 90.00 106.61
Fractional positions:
Nd 0.1251 0.2479 0.3826
Nd 0.8749 0.7521 0.6174
Ho 0.3720 0.7445 0.1137
Ho 0.6280 0.2555 0.8863
S 0.0000 0.0000 0.0000
S 0.2488 0.4979 0.7631
S 0.7512 0.5021 0.2369


Number 3 is which compound?
Nd2Ho2S3